(a)
Entry from Alexandria via LeMat-Bulk: crystalline Ca2CrPd at its relaxed geometry (PBE-GGA).

crystal system	tetragonal
Fermi-level density of states	0.5516	states/eV/atom

Lattice parameters (Å, degrees): 8.1495 8.1495 6.2773 90.00 90.00 90.00
Closest atoms and distances in Å follow each position.
Space group I-42d (No. 122)
Symmetry-distinct sites (fractional):
Ca 0.2103 0.2500 0.1250 x8  2 Pd 2.78
Cr 0.0000 0.0000 0.5000 x4  2 Pd 3.14, 4 Ca 3.22
Pd 0.0000 0.0000 0.0000 x4  4 Ca 2.78

***

(b)
Entry from Alexandria via LeMat-Bulk: crystalline Ca2CrPd at its relaxed geometry (PBE-GGA).

crystal system	cubic
Fermi-level density of states	0.6731	states/eV/atom

Lattice parameters (Å, degrees): 7.2842 7.2842 7.2842 90.00 90.00 90.00
Closest atoms and distances in Å follow each position.
Space group Fm-3m (No. 225)
Symmetry-distinct sites (fractional):
Ca 0.2500 0.2500 0.2500 x8  4 Cr 3.15, 4 Pd 3.15
Cr 0.0000 0.0000 0.0000 x4  8 Ca 3.15
Pd 0.0000 0.0000 0.5000 x4  8 Ca 3.15

***

The structure with the least stability is (a).

***

(a)
Entry from Alexandria via LeMat-Bulk: crystalline CaCrPt at its relaxed geometry (PBE-GGA).

crystal system	triclinic
Fermi-level density of states	0.8400	states/eV/atom

Lattice parameters (Å, degrees): 3.9901 5.6444 6.7021 104.27 101.14 110.36
Closest atoms and distances in Å follow each position.
Space group P-1 (No. 2)
Symmetry-distinct sites (fractional):
Ca 0.2454 0.3694 0.1941 x2  5 Pt 3.01-3.14, 2 Cr 3.31
Cr 0.1085 0.9031 0.4248 x2  1 Cr 1.85
Pt 0.4721 0.0662 0.8248 x2  3 Cr 2.55-2.67, 1 Pt 2.63

***

(b)
Entry from Alexandria via LeMat-Bulk: crystalline CaCrPt at its relaxed geometry (PBE-GGA).

crystal system	hexagonal
Fermi-level density of states	0.8881	states/eV/atom

Lattice parameters (Å, degrees): 4.0683 4.0683 9.1532 90.00 90.00 120.00
Closest atoms and distances in Å follow each position.
Space group P6_3/mmc (No. 194)
Symmetry-distinct sites (fractional):
Ca 0.0000 0.0000 0.0000 x2  6 Cr 3.28, 6 Pt 3.28
Cr 0.3333 0.6667 0.2500 x2  3 Pt 2.35
Pt 0.3333 0.6667 0.7500 x2  3 Cr 2.35

***

(c)
Entry from Alexandria via LeMat-Bulk: crystalline CaCrPt at its relaxed geometry (PBE-GGA).

crystal system	orthorhombic
Fermi-level density of states	1.0472	states/eV/atom

Lattice parameters (Å, degrees): 5.0362 4.3363 10.8650 90.00 90.00 90.00
Closest atoms and distances in Å follow each position.
Space group Amm2 (No. 38)
Symmetry-distinct sites (fractional):
Ca 0.0000 0.0000 0.0000 x2  5 Pt 2.97-3.25
Ca 0.5000 0.0000 0.4276 x2  5 Pt 3.00-3.20, 6 Cr 3.31-3.35
Cr 0.2863 0.0000 0.7200 x4  1 Cr 2.15
Pt 0.0000 0.0000 0.2776 x2  4 Cr 2.68, 2 Pt 2.90
Pt 0.5000 0.0000 0.1443 x2  4 Cr 2.56

***

The structure with the least stability is (b).

***

(a)
Entry from Alexandria via LeMat-Bulk: crystalline CaCrPt3 at its relaxed geometry (PBE-GGA).

crystal system	cubic
Fermi-level density of states	1.9282	states/eV/atom

Lattice parameters (Å, degrees): 4.8619 4.8619 4.8619 90.00 90.00 90.00
Closest atoms and distances in Å follow each position.
Space group Pm-3m (No. 221)
Symmetry-distinct sites (fractional):
Ca 0.0000 0.0000 0.0000 x1  6 Pt 2.43
Cr 0.5000 0.5000 0.5000 x1  12 Pt 3.44
Pt 0.0000 0.0000 0.5000 x3  2 Ca 2.43

***

(b)
Entry from Alexandria via LeMat-Bulk: crystalline CaCrPt3 at its relaxed geometry (PBE-GGA).

crystal system	cubic
Fermi-level density of states	0.8169	states/eV/atom

Lattice parameters (Å, degrees): 4.6781 4.6781 4.6781 90.00 90.00 90.00
Closest atoms and distances in Å follow each position.
Space group Pm-3m (No. 221)
Symmetry-distinct sites (fractional):
Ca 0.0000 0.0000 0.0000 x1  12 Pt 3.31
Cr 0.5000 0.5000 0.5000 x1  6 Pt 2.34
Pt 0.0000 0.5000 0.5000 x3  2 Cr 2.34

***

The structure with the least stability is (a).

***

(a)
Entry from Alexandria via LeMat-Bulk: crystalline RbCaCr3 at its relaxed geometry (PBE-GGA).

crystal system	cubic
Fermi-level density of states	0.4556	states/eV/atom

Lattice parameters (Å, degrees): 5.9593 5.9593 5.9593 90.00 90.00 90.00
Closest atoms and distances in Å follow each position.
Space group Pm-3m (No. 221)
Symmetry-distinct sites (fractional):
Rb 0.0000 0.0000 0.0000 x1  12 Cr 4.21
Ca 0.5000 0.5000 0.5000 x1  6 Cr 2.98
Cr 0.0000 0.5000 0.5000 x3  2 Ca 2.98

***

(b)
Entry from Alexandria via LeMat-Bulk: crystalline RbCaCr3 at its relaxed geometry (PBE-GGA).

crystal system	cubic
Fermi-level density of states	0.7008	states/eV/atom

Lattice parameters (Å, degrees): 5.7641 5.7641 5.7641 90.00 90.00 90.00
Closest atoms and distances in Å follow each position.
Space group Pm-3m (No. 221)
Symmetry-distinct sites (fractional):
Rb 0.0000 0.0000 0.0000 x1  6 Cr 2.88
Ca 0.5000 0.5000 0.5000 x1  12 Cr 4.08
Cr 0.0000 0.0000 0.5000 x3  2 Rb 2.88

***

The structure with the least stability is (b).

***

(a)
Entry from Alexandria via LeMat-Bulk: crystalline RbCa2Cr2 at its relaxed geometry (PBE-GGA).

crystal system	tetragonal
Fermi-level density of states	0.9603	states/eV/atom

Lattice parameters (Å, degrees): 3.4256 3.4256 25.9955 90.00 90.00 90.00
Closest atoms and distances in Å follow each position.
Space group I4/mmm (No. 139)
Symmetry-distinct sites (fractional):
Rb 0.0000 0.0000 0.0000 x2  4 Rb 3.43
Ca 0.0000 0.0000 0.3500 x4  4 Cr 3.11, 4 Ca 3.43
Cr 0.0000 0.5000 0.2500 x4  4 Cr 2.42

***

(b)
Entry from Alexandria via LeMat-Bulk: crystalline RbCa2Cr2 at its relaxed geometry (PBE-GGA).

crystal system	tetragonal
Fermi-level density of states	1.4803	states/eV/atom

Lattice parameters (Å, degrees): 9.2573 9.2573 3.4300 90.00 90.00 90.00
Closest atoms and distances in Å follow each position.
Space group P4/mbm (No. 127)
Symmetry-distinct sites (fractional):
Rb 0.0000 0.0000 0.0000 x2  4 Ca 3.35, 2 Rb 3.43
Ca 0.1960 0.3040 0.0000 x4  6 Cr 3.21-3.53, 2 Rb 3.35, 2 Ca 3.43
Cr 0.0681 0.5681 0.5000 x4  1 Cr 1.78

***

The structure with the least stability is (b).

***

(a)
Entry from Alexandria via LeMat-Bulk: crystalline CaCrRe3 at its relaxed geometry (PBE-GGA).

crystal system	cubic
Fermi-level density of states	1.2903	states/eV/atom

Lattice parameters (Å, degrees): 4.5630 4.5630 4.5630 90.00 90.00 90.00
Closest atoms and distances in Å follow each position.
Space group Pm-3m (No. 221)
Symmetry-distinct sites (fractional):
Ca 0.0000 0.0000 0.0000 x1  6 Re 2.28
Cr 0.5000 0.5000 0.5000 x1  12 Re 3.23
Re 0.0000 0.0000 0.5000 x3  2 Ca 2.28

***

(b)
Entry from Alexandria via LeMat-Bulk: crystalline CaCrRe3 at its relaxed geometry (PBE-GGA).

crystal system	cubic
Fermi-level density of states	1.5565	states/eV/atom

Lattice parameters (Å, degrees): 4.5570 4.5570 4.5570 90.00 90.00 90.00
Closest atoms and distances in Å follow each position.
Space group Pm-3m (No. 221)
Symmetry-distinct sites (fractional):
Ca 0.0000 0.0000 0.0000 x1  12 Re 3.22
Cr 0.5000 0.5000 0.5000 x1  6 Re 2.28
Re 0.0000 0.5000 0.5000 x3  2 Cr 2.28

***

The structure with the least stability is (a).